# 1
InBiC2N | PBE | relaxed

Properties
Formation energy (no corrections), eV/f.u.: 13.2
Total energy, Ry per atom: -0.2965

Geometry as CIF:
```
data_InBiC2N
_chemical_formula_sum 'In1 Bi1 C2 N1'
_space_group_name_H-M_alt 'P 4/m m m'
_space_group_IT_number 123
_space_group_name_Hall '-P 4 2'
_cell_length_a 4.133
_cell_length_b 4.133
_cell_length_c 4.635
_cell_angle_alpha 90.00
_cell_angle_beta 90.00
_cell_angle_gamma 90.00
loop_
_atom_site_label
_atom_site_fract_x
_atom_site_fract_y
_atom_site_fract_z
_atom_site_occupancy
In1 0.000 0.000 0.000 1
Bi1 0.500 0.500 0.000 1
C1 0.000 0.500 0.500 1
N1 0.500 0.500 0.500 1
```

# 2
PbAuSe2 | PBE | relaxed

Properties
Formation energy (no corrections), eV/f.u.: -0.7
Total energy, Ry per atom: -0.2692

Geometry as CIF:
```
data_PbAuSe2
_chemical_formula_sum 'Pb3 Au3 Se6'
_space_group_name_H-M_alt 'R -3 m'
_space_group_IT_number 166
_space_group_name_Hall '-R 3 2"'
_cell_length_a 4.1708
_cell_length_b 4.1708
_cell_length_c 19.6004
_cell_angle_alpha 90.00
_cell_angle_beta 90.00
_cell_angle_gamma 120.00
loop_
_atom_site_label
_atom_site_fract_x
_atom_site_fract_y
_atom_site_fract_z
_atom_site_occupancy
Pb1 0.0000 0.0000 0.0000 1
Au1 0.0000 0.0000 0.5000 1
Se1 0.0000 0.0000 0.2384 1
```

# 3
ScNb2SiF | PBE | relaxed

Properties
Formation energy (no corrections), eV/f.u.: -1.5
Total energy, Ry per atom: -0.5184

Geometry as CIF:
```
data_ScNb2SiF
_chemical_formula_sum 'Sc1 Nb2 Si1 F1'
_space_group_name_H-M_alt 'P 4/m m m'
_space_group_IT_number 123
_space_group_name_Hall '-P 4 2'
_cell_length_a 4.165
_cell_length_b 4.165
_cell_length_c 4.998
_cell_angle_alpha 90.00
_cell_angle_beta 90.00
_cell_angle_gamma 90.00
loop_
_atom_site_label
_atom_site_fract_x
_atom_site_fract_y
_atom_site_fract_z
_atom_site_occupancy
Sc1 0.000 0.000 0.000 1
Nb1 0.000 0.500 0.500 1
Si1 0.500 0.500 0.000 1
F1 0.500 0.500 0.500 1
```

# 4
Tb6Ce2DyTm3 | PBE | relaxed

Properties
Calculated formation energy, eV per atom: 0.050
Total energy, Ry per atom: -0.3495

Geometry as CIF:
```
data_Tb6Ce2DyTm3
_chemical_formula_sum 'Tb12 Ce4 Dy2 Tm6'
_space_group_name_H-M_alt 'C 1 2/m 1'
_space_group_IT_number 12
_cell_length_a 6.118
_cell_length_b 10.596
_cell_length_c 11.713
_cell_angle_alpha 90.00
_cell_angle_beta 100.03
_cell_angle_gamma 90.00
loop_
_space_group_symop_operation_xyz
'x,y,z'
'-x,-y,-z'
'-x,y,-z'
'x,-y,z'
'x+1/2,y+1/2,z'
'-x+1/2,-y+1/2,-z'
'-x+1/2,y+1/2,-z'
'x+1/2,-y+1/2,z'
loop_
_atom_site_label
_atom_site_fract_x
_atom_site_fract_y
_atom_site_fract_z
_atom_site_occupancy
Tb1 0.248 0.168 0.249 1
Tb2 0.249 0.000 0.751 1
Ce1 0.000 0.167 0.500 1
Dy1 0.000 0.500 0.500 1
Tm1 0.000 0.000 0.000 1
Tm2 0.000 0.334 0.000 1
```

# 5
Cs2BaSiSe4 | PBE | relaxed

Properties
Formation energy (no corrections), eV/f.u.: -8.7
Total energy, Ry per atom: -0.2907

Geometry as CIF:
```
data_Cs2BaSiSe4
_chemical_formula_sum 'Cs16 Ba8 Si8 Se32'
_space_group_name_H-M_alt 'F d d d'
_space_group_IT_number 70
_cell_length_a 7.167
_cell_length_b 14.840
_cell_length_c 27.886
_cell_angle_alpha 90.00
_cell_angle_beta 90.00
_cell_angle_gamma 90.00
loop_
_space_group_symop_operation_xyz
'x,y,z'
'-x,-y,-z'
'-x+1/4,-y+1/4,z'
'x+1/4,y+1/4,-z'
'x,-y+1/4,-z+1/4'
'-x,y+1/4,z+1/4'
'-x+1/4,y,-z+1/4'
'x+1/4,-y,z+1/4'
'x,y+1/2,z+1/2'
'-x,-y+1/2,-z+1/2'
'-x+1/4,-y+3/4,z+1/2'
'x+1/4,y+3/4,-z+1/2'
'x,-y+3/4,-z+3/4'
'-x,y+3/4,z+3/4'
'-x+1/4,y+1/2,-z+3/4'
'x+1/4,-y+1/2,z+3/4'
'x+1/2,y,z+1/2'
'-x+1/2,-y,-z+1/2'
'-x+3/4,-y+1/4,z+1/2'
'x+3/4,y+1/4,-z+1/2'
'x+1/2,-y+1/4,-z+3/4'
'-x+1/2,y+1/4,z+3/4'
'-x+3/4,y,-z+3/4'
'x+3/4,-y,z+3/4'
'x+1/2,y+1/2,z'
'-x+1/2,-y+1/2,-z'
'-x+3/4,-y+3/4,z'
'x+3/4,y+3/4,-z'
'x+1/2,-y+3/4,-z+1/4'
'-x+1/2,y+3/4,z+1/4'
'-x+3/4,y+1/2,-z+1/4'
'x+3/4,-y+1/2,z+1/4'
loop_
_atom_site_label
_atom_site_fract_x
_atom_site_fract_y
_atom_site_fract_z
_atom_site_occupancy
Cs1 0.125 0.125 0.313 1
Ba1 0.125 0.125 0.125 1
Si1 0.125 0.125 0.625 1
Se1 0.046 0.279 0.826 1
```

# 6
K2CaCrCl6 | PBE | relaxed

Properties
Formation energy (no corrections), eV/f.u.: -17.5
Total energy, Ry per atom: -0.3115

Geometry as CIF:
```
data_K2CaCrCl6
_chemical_formula_sum 'K4 Ca2 Cr2 Cl12'
_space_group_name_H-M_alt 'P m m n'
_space_group_IT_number 59
_cell_length_a 7.341
_cell_length_b 10.378
_cell_length_c 7.341
_cell_angle_alpha 90.00
_cell_angle_beta 90.00
_cell_angle_gamma 90.00
loop_
_space_group_symop_operation_xyz
'x,y,z'
'-x,-y,-z'
'-x+1/2,-y+1/2,z'
'x+1/2,y+1/2,-z'
'x+1/2,-y,-z'
'-x+1/2,y,z'
'-x,y+1/2,-z'
'x,-y+1/2,z'
loop_
_atom_site_label
_atom_site_fract_x
_atom_site_fract_y
_atom_site_fract_z
_atom_site_occupancy
K1 0.250 0.000 0.248 1
Ca1 0.250 0.250 0.749 1
Cr1 0.250 0.750 0.751 1
Cl1 0.010 0.750 0.511 1
Cl2 0.010 0.750 0.991 1
Cl3 0.250 0.510 0.751 1
```

# 7
Ac2SiH | PBE | relaxed

Properties
Total energy, Ry per atom: -0.3351
Relative energy among the computed polymorphs, meV per atom: 78

Geometry as CIF:
```
data_Ac2SiH
_chemical_formula_sum 'Ac8 Si4 H4'
_space_group_name_H-M_alt 'F m -3 m'
_space_group_IT_number 225
_space_group_name_Hall '-F 4 2 3'
_cell_length_a 7.432
_cell_length_b 7.432
_cell_length_c 7.432
_cell_angle_alpha 90.00
_cell_angle_beta 90.00
_cell_angle_gamma 90.00
loop_
_atom_site_label
_atom_site_fract_x
_atom_site_fract_y
_atom_site_fract_z
_atom_site_occupancy
Ac1 0.250 0.250 0.250 1
Si1 0.000 0.000 0.000 1
H1 0.000 0.000 0.500 1
```

# 8
NaGa2Au9 | PBE | relaxed

Properties
Calculated formation energy, eV per atom: -0.108
Total energy, Ry per atom: -0.2337
Relative energy among the computed polymorphs, meV per atom: 21

Geometry as CIF:
```
data_NaGa2Au9
_chemical_formula_sum 'Na1 Ga2 Au9'
_space_group_name_H-M_alt 'P 6/m m m'
_space_group_IT_number 191
_space_group_name_Hall '-P 6 2'
_cell_length_a 9.0062
_cell_length_b 9.0062
_cell_length_c 3.1998
_cell_angle_alpha 90.00
_cell_angle_beta 90.00
_cell_angle_gamma 120.00
loop_
_atom_site_label
_atom_site_fract_x
_atom_site_fract_y
_atom_site_fract_z
_atom_site_occupancy
Na1 0.0000 0.0000 0.0000 1
Ga1 0.3333 0.6667 0.0000 1
Au1 0.0000 0.5000 0.0000 1
Au2 0.1807 0.3613 0.5000 1
```

Which of these has the highest total energy? NaGa2Au9

Which formula does entry 7 have? Ac2SiH

The lowest total energy belongs to which entry? ScNb2SiF

Repeat the first record exactly.
InBiC2N | PBE | relaxed

Properties
Formation energy (no corrections), eV/f.u.: 13.2
Total energy, Ry per atom: -0.2965

Geometry as CIF:
```
data_InBiC2N
_chemical_formula_sum 'In1 Bi1 C2 N1'
_space_group_name_H-M_alt 'P 4/m m m'
_space_group_IT_number 123
_space_group_name_Hall '-P 4 2'
_cell_length_a 4.133
_cell_length_b 4.133
_cell_length_c 4.635
_cell_angle_alpha 90.00
_cell_angle_beta 90.00
_cell_angle_gamma 90.00
loop_
_atom_site_label
_atom_site_fract_x
_atom_site_fract_y
_atom_site_fract_z
_atom_site_occupancy
In1 0.000 0.000 0.000 1
Bi1 0.500 0.500 0.000 1
C1 0.000 0.500 0.500 1
N1 0.500 0.500 0.500 1
```